The following is a PBE+U calculation of LaCoPO after structural relaxation, from OQMD.

Total energy in eV/cell: -50.862
SG: Pmc2_1 (26)
Total magnetization in μB/atom: 0.57
Volume in Å³/cell: 150.5

a = 3.919 Å, b = 6.118 Å, c = 6.274 Å
α = 90.00°, β = 90.00°, γ = 90.00°
Fractional positions:
1 La 0.000 0.232 0.000
2 La 0.000 0.768 0.500
3 Co 0.500 0.244 0.413
4 Co 0.500 0.756 0.913
5 P 0.500 0.454 0.706
6 P 0.500 0.546 0.206
7 O 0.000 0.108 0.358
8 O 0.000 0.892 0.858